This record from Alexandria via LeMat-Bulk describes a relaxed AcSiGe3 crystal. The functional is PBE-GGA.

Formation energy from raw total energies   -0.21 eV/atom
Calculated volume   22.73 Å³/atom

Geometry as POSCAR:
```
AcSiGe3
1.0
10.112 -2.381 0.000
10.112 2.381 0.000
-1.142 0.000 4.721
Ac Si Ge
2 2 6
direct
0.095 0.095 0.346
0.905 0.905 0.654
0.347 0.347 0.096
0.653 0.653 0.904
0.204 0.204 0.955
0.277 0.277 0.527
0.473 0.473 0.224
0.527 0.527 0.776
0.723 0.723 0.473
0.796 0.796 0.045
```

=====

This record from Alexandria via LeMat-Bulk describes a relaxed Ac3SiGe3 crystal. The functional is PBE-GGA.

Excess energy over the best structure of this formula in the dataset   0.0000 eV/atom
Formation energy from raw total energies   -0.64 eV/atom
Calculated volume   27.87 Å³/atom

Geometry as POSCAR:
```
Ac3SiGe3
1.0
4.246 0.000 0.000
0.000 4.794 0.000
0.000 0.000 19.169
Ac Si Ge
6 2 6
direct
0.000 0.000 0.000
0.000 0.000 0.360
0.000 0.500 0.678
0.500 0.000 0.178
0.500 0.500 0.500
0.500 0.500 0.860
0.000 0.500 0.113
0.500 0.000 0.613
0.000 0.000 0.536
0.000 0.000 0.827
0.000 0.500 0.242
0.500 0.000 0.742
0.500 0.500 0.036
0.500 0.500 0.327
```